Computed, not measured: an optimized crystal structure of LiWSe at the PBEsol level of DFT.

Unit cell a=3.209 b=4.754 c=12.994 alpha=90.00 beta=90.00 gamma=90.00
Space group Fmm2 (No. 42)
One atom of each set of equivalent atoms:
1 Li 0.000 0.000 0.000
2 W 0.000 0.000 0.676
3 Se 0.000 0.000 0.326

Computed properties:
* crystal system: orthorhombic
* energy above the most stable polymorph in this dataset: 0 meV per atom

=====

Computed, not measured: an optimized crystal structure of MnTe3 at the PBEsol level of DFT.

Unit cell a=3.117 b=3.117 c=9.880 alpha=90.00 beta=90.00 gamma=90.00
Space group P4/mmm (No. 123)
One atom of each set of equivalent atoms:
1 Mn 0.000 0.000 0.000
2 Te 0.000 0.000 0.500
3 Te 0.500 0.500 0.163

Computed properties:
* crystal system: tetragonal

=====

Computed, not measured: an optimized crystal structure of YScAl2 at the PBEsol level of DFT.

Unit cell a=6.910 b=6.910 c=6.910 alpha=90.00 beta=90.00 gamma=90.00
Space group Fm-3m (No. 225)
One atom of each set of equivalent atoms:
1 Y 0.000 0.000 0.000
2 Sc 0.000 0.000 0.500
3 Al 0.250 0.250 0.250

Computed properties:
* crystal system: cubic
* energy above the most stable polymorph in this dataset: 15 meV per atom

=====

Computed, not measured: an optimized crystal structure of TiAlSN2 at the PBEsol level of DFT.

Unit cell a=3.635 b=3.635 c=4.711 alpha=90.00 beta=90.00 gamma=90.00
Space group P4/mmm (No. 123)
One atom of each set of equivalent atoms:
1 Ti 0.000 0.000 0.000
2 Al 0.500 0.500 0.500
3 S 0.500 0.500 0.000
4 N 0.000 0.500 0.500

Computed properties:
* crystal system: tetragonal

=====

Computed, not measured: an optimized crystal structure of CaP3O at the PBEsol level of DFT.

Unit cell a=4.247 b=4.247 c=4.247 alpha=90.00 beta=90.00 gamma=90.00
Space group Pm-3m (No. 221)
One atom of each set of equivalent atoms:
1 Ca 0.000 0.000 0.000
2 P 0.000 0.500 0.500
3 O 0.500 0.500 0.500

Computed properties:
* crystal system: cubic

=====

Computed, not measured: an optimized crystal structure of KLaCl at the PBEsol level of DFT.

Unit cell a=3.811 b=6.462 c=16.678 alpha=90.00 beta=90.00 gamma=90.00
Space group Fmm2 (No. 42)
One atom of each set of equivalent atoms:
1 K 0.000 0.000 0.000
2 La 0.000 0.000 0.275
3 Cl 0.000 0.000 0.640

Computed properties:
* crystal system: orthorhombic
* energy above the most stable polymorph in this dataset: 0 meV per atom

=====

Computed, not measured: an optimized crystal structure of LiZnRh2 at the PBEsol level of DFT.

Unit cell a=2.776 b=4.219 c=4.478 alpha=90.00 beta=90.00 gamma=90.00
Space group Pmmm (No. 47)
One atom of each set of equivalent atoms:
1 Li 0.000 0.000 0.000
2 Zn 0.500 0.000 0.500
3 Rh 0.000 0.500 0.500
4 Rh 0.500 0.500 0.000

Computed properties:
* crystal system: orthorhombic

=====

Computed, not measured: an optimized crystal structure of La2WO6 at the PBEsol level of DFT.

Unit cell a=16.711 b=11.509 c=5.596 alpha=90.00 beta=107.09 gamma=90.00
Space group C2/c (No. 15)
One atom of each set of equivalent atoms:
1 La 0.000 0.111 0.250
2 La 0.000 0.371 0.750
3 La 0.176 0.115 0.889
4 W 0.153 0.350 0.436
5 O 0.080 0.241 0.582
6 O 0.082 0.462 0.481
7 O 0.093 0.012 0.077
8 O 0.104 0.278 0.133
9 O 0.229 0.446 0.359
10 O 0.232 0.294 0.721

Computed properties:
* crystal system: monoclinic

=====

Computed, not measured: an optimized crystal structure of MgFeIO2 at the PBEsol level of DFT.

Unit cell a=3.824 b=3.824 c=5.366 alpha=90.00 beta=90.00 gamma=90.00
Space group P4/mmm (No. 123)
One atom of each set of equivalent atoms:
1 Mg 0.000 0.000 0.000
2 Fe 0.500 0.500 0.500
3 I 0.500 0.500 0.000
4 O 0.000 0.500 0.500

Computed properties:
* crystal system: tetragonal

=====

Computed, not measured: an optimized crystal structure of NaSnN2O at the PBEsol level of DFT.

Unit cell a=4.236 b=4.236 c=4.119 alpha=90.00 beta=90.00 gamma=90.00
Space group P4/mmm (No. 123)
One atom of each set of equivalent atoms:
1 Na 0.000 0.000 0.000
2 Sn 0.500 0.500 0.500
3 N 0.000 0.500 0.000
4 O 0.000 0.000 0.500

Computed properties:
* crystal system: tetragonal

=====

Computed, not measured: an optimized crystal structure of MnCo2Mo at the PBEsol level of DFT.

Unit cell a=3.546 b=3.546 c=7.179 alpha=90.00 beta=90.00 gamma=90.00
Space group I4/mmm (No. 139)
One atom of each set of equivalent atoms:
1 Mn 0.000 0.000 0.000
2 Co 0.000 0.500 0.250
3 Mo 0.000 0.000 0.500

Computed properties:
* crystal system: tetragonal
* energy above the most stable polymorph in this dataset: 26 meV per atom

=====

Computed, not measured: an optimized crystal structure of CrTcTeW2 at the PBEsol level of DFT.

Unit cell a=4.820 b=4.820 c=4.717 alpha=90.00 beta=90.00 gamma=90.00
Space group P4/mmm (No. 123)
One atom of each set of equivalent atoms:
1 Cr 0.000 0.000 0.000
2 Tc 0.500 0.500 0.000
3 Te 0.500 0.500 0.500
4 W 0.000 0.500 0.500

Computed properties:
* crystal system: tetragonal

=====

Computed, not measured: an optimized crystal structure of KMnCo2P at the PBEsol level of DFT.

Unit cell a=4.526 b=4.526 c=4.239 alpha=90.00 beta=90.00 gamma=90.00
Space group P4/mmm (No. 123)
One atom of each set of equivalent atoms:
1 K 0.000 0.000 0.000
2 Mn 0.500 0.500 0.500
3 Co 0.000 0.500 0.500
4 P 0.500 0.500 0.000

Computed properties:
* crystal system: tetragonal

=====

Computed, not measured: an optimized crystal structure of Tl2FeIr at the PBEsol level of DFT.

Unit cell a=6.639 b=6.639 c=6.639 alpha=90.00 beta=90.00 gamma=90.00
Space group F-43m (No. 216)
One atom of each set of equivalent atoms:
1 Tl 0.000 0.000 0.000
2 Tl 0.250 0.250 0.250
3 Fe 0.000 0.000 0.500
4 Ir 0.250 0.250 0.750

Computed properties:
* crystal system: cubic
* energy above the most stable polymorph in this dataset: 401 meV per atom

=====

Computed, not measured: an optimized crystal structure of SrCd2 at the PBEsol level of DFT.

Unit cell a=4.494 b=4.494 c=17.724 alpha=90.00 beta=90.00 gamma=90.00
Space group I4_1/amd (No. 141, origin choice 2)
One atom of each set of equivalent atoms:
1 Sr 0.000 0.250 0.375
2 Cd 0.000 0.250 0.795

Computed properties:
* crystal system: tetragonal

=====

Computed, not measured: an optimized crystal structure of ZnFe3 at the PBEsol level of DFT.

Unit cell a=2.901 b=2.901 c=5.483 alpha=90.00 beta=90.00 gamma=90.00
Space group P4/mmm (No. 123)
One atom of each set of equivalent atoms:
1 Zn 0.000 0.000 0.000
2 Fe 0.000 0.000 0.500
3 Fe 0.500 0.500 0.263

Computed properties:
* crystal system: tetragonal

=====

Computed, not measured: an optimized crystal structure of Dy5P12Ru19 at the PBEsol level of DFT.

Unit cell a=12.3848 b=12.3848 c=3.9140 alpha=90.00 beta=90.00 gamma=120.00
Space group P-62m (No. 189)
One atom of each set of equivalent atoms:
1 Dy 0.0000 0.8157 0.0000
2 Dy 0.3333 0.6667 0.5000
3 P 0.0000 0.1839 0.5000
4 P 0.0000 0.6271 0.5000
5 P 0.1709 0.4780 0.0000
6 Ru 0.0000 0.0000 0.5000
7 Ru 0.0000 0.2825 0.0000
8 Ru 0.0000 0.4443 0.5000
9 Ru 0.1251 0.6342 0.0000
10 Ru 0.1846 0.3770 0.5000

Computed properties:
* crystal system: hexagonal

=====

Computed, not measured: an optimized crystal structure of KY2AlC at the PBEsol level of DFT.

Unit cell a=4.819 b=4.819 c=5.495 alpha=90.00 beta=90.00 gamma=90.00
Space group P4/mmm (No. 123)
One atom of each set of equivalent atoms:
1 K 0.000 0.000 0.000
2 Y 0.000 0.500 0.500
3 Al 0.500 0.500 0.000
4 C 0.000 0.000 0.500

Computed properties:
* crystal system: tetragonal

=====

Computed, not measured: an optimized crystal structure of CoIrPt2 at the PBEsol level of DFT.

Unit cell a=2.694 b=2.694 c=7.522 alpha=90.00 beta=90.00 gamma=90.00
Space group P4mm (No. 99)
One atom of each set of equivalent atoms:
1 Co 0.000 0.000 0.000
2 Ir 0.500 0.500 0.223
3 Pt 0.000 0.000 0.486
4 Pt 0.500 0.500 0.762

Computed properties:
* crystal system: tetragonal
* energy above the most stable polymorph in this dataset: 0 meV per atom

=====

Computed, not measured: an optimized crystal structure of KCd2Te at the PBEsol level of DFT.

Unit cell a=3.312 b=5.653 c=5.920 alpha=90.00 beta=90.00 gamma=90.00
Space group Pmmm (No. 47)
One atom of each set of equivalent atoms:
1 K 0.000 0.000 0.000
2 Cd 0.500 0.500 0.249
3 Te 0.500 0.000 0.500

Computed properties:
* crystal system: orthorhombic

=====

| no. | VASP energy (eV/atom) | Fermi-level density of states (states/eV per cell) |
| --- | --- | --- |
| 1 | -6.2258 | 7.62 |
| 2 | -4.9575 | 2.65 |
| 3 | -5.8317 | 6.08 |
| 4 | -6.7118 | 3.13 |
| 5 | -5.1102 | 1.64 |
| 6 | -3.6752 | 14.54 |
| 7 | -5.1377 | 3.78 |
| 8 | -9.2584 | 0.00 |
| 9 | -5.1370 | 3.22 |
| 10 | -4.0994 | 1.08 |
| 11 | -9.2557 | 6.05 |
| 12 | -7.9670 | 7.73 |
| 13 | -5.6093 | 10.92 |
| 14 | -5.2375 | 15.44 |
| 15 | -1.6897 | 8.25 |
| 16 | -7.0484 | 3.09 |
| 17 | -8.8905 | 20.03 |
| 18 | -5.3837 | 4.69 |
| 19 | -7.8697 | 5.10 |
| 20 | -1.9581 | 1.21 |